Record 1
Entry from the Alexandria database: a relaxed structure of Na3OsAu (PBE).

POSCAR file:
```
Na3OsAu
1.0
5.3688 0.0000 0.0000
0.0000 5.3688 0.0000
0.0000 0.0000 5.3688
Na Au Os
3 1 1
direct
0.5000 0.0000 0.0000
0.0000 0.5000 0.0000
0.0000 0.0000 0.5000
0.0000 0.0000 0.0000
0.5000 0.5000 0.5000
```

Properties
As for the symmetry: Pm-3m. Its volume is 30.95 Å³/atom. The excess energy over the best structure of this formula in the dataset comes out at 0 meV per atom. Its crystal system is cubic. The formation energy is 1.194 eV per atom. For the density, the calculation gives 4.9 Mg/m³. The value obtained for the total DFT energy (no corrections) is -12.496 eV/f.u.

=====

Record 2
Entry from the Alexandria database: a relaxed structure of Na2OsAu (PBE).

POSCAR file:
```
Na2OsAu
1.0
3.0197 2.1673 3.0068
-1.3795 3.9232 2.3584
-0.7715 -0.1922 4.7143
Au Na Os
1 2 1
direct
0.5000 0.5000 0.5000
0.7500 0.7500 0.7500
0.2500 0.2500 0.2500
0.0000 0.0000 0.0000
```

Properties
As for the symmetry: Fm-3m. Its volume is 19.32 Å³/atom. The excess energy over the best structure of this formula in the dataset comes out at 103 meV per atom. Its crystal system is cubic. The formation energy is 1.078 eV per atom. For the density, the calculation gives 9.3 Mg/m³. The value obtained for the total DFT energy (no corrections) is -12.834 eV/f.u.

=====

Record 3
Entry from the Alexandria database: a relaxed structure of Na2OsAu (PBE).

POSCAR file:
```
Na2OsAu
1.0
8.0665 0.0000 0.0000
0.0000 8.0665 0.0000
4.0333 4.0333 2.6681
Au Na Os
2 4 2
direct
0.0000 0.0000 0.0000
0.7500 0.2500 0.5000
0.6384 0.1250 0.2500
0.8750 0.8884 0.7500
0.3750 0.3616 0.7500
0.1116 0.6250 0.2500
0.2500 0.7500 0.5000
0.5000 0.5000 0.0000
```

Properties
As for the symmetry: I-42d. Its volume is 21.70 Å³/atom. The excess energy over the best structure of this formula in the dataset comes out at 0 meV per atom. Its crystal system is tetragonal. The formation energy is 0.975 eV per atom. For the density, the calculation gives 8.3 Mg/m³. The value obtained for the total DFT energy (no corrections) is -13.247 eV/f.u.

=====

Record 4
Entry from the Alexandria database: a relaxed structure of Na3OsAu (PBE).

POSCAR file:
```
Na3OsAu
1.0
5.6173 0.0000 0.0000
0.0000 5.6173 0.0000
0.0000 0.0000 5.6173
Au Os Na
1 1 3
direct
0.5000 0.5000 0.5000
0.0000 0.0000 0.0000
0.0000 0.5000 0.0000
0.0000 0.0000 0.5000
0.5000 0.0000 0.0000
```

Properties
As for the symmetry: Pm-3m. Its volume is 35.45 Å³/atom. The excess energy over the best structure of this formula in the dataset comes out at 59 meV per atom. Its crystal system is cubic. The formation energy is 1.253 eV per atom. For the density, the calculation gives 4.3 Mg/m³. The value obtained for the total DFT energy (no corrections) is -12.199 eV/f.u.